--- i ---
{
  "formula": "Ce6PuIn2",
  "functional": "PBE-GGA",
  "state": "relaxed",
  "dos_at_fermi_per_ev_fu": 17.27,
  "lattice_angstrom": [[0.000, 5.004, 5.004], [5.004, 0.000, 5.004], [5.004, 5.004, 0.000]],
  "species": ["Ce", "Ce", "Ce", "Ce", "Ce", "Ce", "Pu", "In", "In"],
  "frac_coords": [[0.245, 0.245, 0.755], [0.245, 0.755, 0.245], [0.245, 0.755, 0.755], [0.755, 0.245, 0.245], [0.755, 0.245, 0.755], [0.755, 0.755, 0.245], [0.000, 0.000, 0.000], [0.250, 0.250, 0.250], [0.750, 0.750, 0.750]]
}

--- ii ---
{
  "formula": "Ce6PuIn2",
  "functional": "PBE-GGA",
  "state": "relaxed",
  "dos_at_fermi_per_ev_fu": 19.23,
  "lattice_angstrom": [[6.124, -3.530, 0.000], [6.124, 3.530, 0.000], [-0.023, 0.000, 5.718]],
  "species": ["Ce", "Ce", "Ce", "Ce", "Ce", "Ce", "Pu", "In", "In"],
  "frac_coords": [[0.165, 0.669, 0.739], [0.331, 0.331, 0.263], [0.331, 0.835, 0.261], [0.669, 0.165, 0.739], [0.669, 0.669, 0.737], [0.835, 0.331, 0.261], [0.500, 0.500, 0.500], [0.167, 0.167, 0.763], [0.833, 0.833, 0.237]]
}

Most stable: ii (next structure +0.028 eV/atom)

--- i ---
{
  "formula": "Ce2PuIn",
  "functional": "PBE-GGA",
  "state": "relaxed",
  "dos_at_fermi_per_ev_fu": 8.21,
  "lattice_angstrom": [[7.589, 0.000, 0.000], [0.000, 7.589, 0.000], [0.000, 0.000, 7.589]],
  "species": ["Ce", "Ce", "Ce", "Ce", "Ce", "Ce", "Ce", "Ce", "Pu", "Pu", "Pu", "Pu", "In", "In", "In", "In"],
  "frac_coords": [[0.250, 0.250, 0.250], [0.250, 0.250, 0.750], [0.250, 0.750, 0.250], [0.250, 0.750, 0.750], [0.750, 0.250, 0.250], [0.750, 0.250, 0.750], [0.750, 0.750, 0.250], [0.750, 0.750, 0.750], [0.000, 0.000, 0.000], [0.000, 0.500, 0.500], [0.500, 0.000, 0.500], [0.500, 0.500, 0.000], [0.000, 0.000, 0.500], [0.000, 0.500, 0.000], [0.500, 0.000, 0.000], [0.500, 0.500, 0.500]]
}

--- ii ---
{
  "formula": "Ce2PuIn",
  "functional": "PBE-GGA",
  "state": "relaxed",
  "dos_at_fermi_per_ev_fu": 10.41,
  "lattice_angstrom": [[3.894, 0.000, 0.000], [0.000, 3.894, 0.000], [0.000, 0.000, 7.183]],
  "species": ["Ce", "Ce", "Pu", "In"],
  "frac_coords": [[0.000, 0.000, 0.241], [0.000, 0.000, 0.759], [0.500, 0.500, 0.000], [0.500, 0.500, 0.500]]
}

Most stable: i (next structure +0.049 eV/atom)

--- i ---
{
  "formula": "Ce2PuIn",
  "functional": "PBE-GGA",
  "state": "relaxed",
  "dos_at_fermi_per_ev_fu": 9.47,
  "lattice_angstrom": [[4.888, 0.000, 0.000], [0.000, 4.888, 0.000], [0.000, 0.000, 4.570]],
  "species": ["Ce", "Ce", "Pu", "In"],
  "frac_coords": [[0.000, 0.500, 0.000], [0.500, 0.000, 0.000], [0.000, 0.000, 0.500], [0.500, 0.500, 0.500]]
}

--- ii ---
{
  "formula": "Ce2PuIn",
  "functional": "PBE-GGA",
  "state": "relaxed",
  "dos_at_fermi_per_ev_fu": 10.76,
  "lattice_angstrom": [[7.694, 0.000, 0.000], [0.000, 7.706, 0.000], [0.000, 0.000, 3.648]],
  "species": ["Ce", "Ce", "Ce", "Ce", "Pu", "Pu", "In", "In"],
  "frac_coords": [[0.250, 0.250, 0.000], [0.250, 0.750, 0.000], [0.750, 0.250, 0.000], [0.750, 0.750, 0.000], [0.000, 0.000, 0.500], [0.500, 0.500, 0.500], [0.000, 0.500, 0.500], [0.500, 0.000, 0.500]]
}

Most stable: i (next structure +0.047 eV/atom)

--- i ---
{
  "formula": "CePuIn6",
  "functional": "PBE-GGA",
  "state": "relaxed",
  "dos_at_fermi_per_ev_fu": 18.98,
  "lattice_angstrom": [[6.736, 0.000, 0.000], [-3.368, 5.833, 0.000], [0.000, 0.000, 5.246]],
  "species": ["Ce", "Pu", "In", "In", "In", "In", "In", "In"],
  "frac_coords": [[0.000, 0.000, 0.000], [0.333, 0.667, 0.500], [0.347, 0.173, 0.500], [0.505, 0.011, 0.000], [0.505, 0.495, 0.000], [0.827, 0.173, 0.500], [0.827, 0.653, 0.500], [0.989, 0.495, 0.000]]
}

--- ii ---
{
  "formula": "CePuIn6",
  "functional": "PBE-GGA",
  "state": "relaxed",
  "dos_at_fermi_per_ev_fu": 19.58,
  "lattice_angstrom": [[4.692, 0.000, 0.000], [0.000, 4.692, 0.000], [0.000, 0.000, 9.368]],
  "species": ["Ce", "Pu", "In", "In", "In", "In", "In", "In"],
  "frac_coords": [[0.000, 0.000, 0.000], [0.000, 0.000, 0.500], [0.000, 0.500, 0.253], [0.000, 0.500, 0.747], [0.500, 0.000, 0.253], [0.500, 0.000, 0.747], [0.500, 0.500, 0.000], [0.500, 0.500, 0.500]]
}

Most stable: ii (next structure +0.044 eV/atom)

--- i ---
{
  "formula": "CePuIn4",
  "functional": "PBE-GGA",
  "state": "relaxed",
  "dos_at_fermi_per_ev_fu": 16.35,
  "lattice_angstrom": [[3.462, 0.000, 0.000], [0.000, 5.111, 0.000], [0.000, 0.000, 8.945]],
  "species": ["Ce", "Pu", "In", "In", "In", "In"],
  "frac_coords": [[0.000, 0.000, 0.000], [0.000, 0.500, 0.500], [0.500, 0.000, 0.334], [0.500, 0.000, 0.666], [0.500, 0.500, 0.167], [0.500, 0.500, 0.833]]
}

--- ii ---
{
  "formula": "CePuIn4",
  "functional": "PBE-GGA",
  "state": "relaxed",
  "dos_at_fermi_per_ev_fu": 15.77,
  "lattice_angstrom": [[0.000, 4.280, 4.280], [4.280, 0.000, 4.280], [4.280, 4.280, 0.000]],
  "species": ["Ce", "Pu", "In", "In", "In", "In"],
  "frac_coords": [[0.000, 0.000, 0.000], [0.250, 0.250, 0.250], [0.125, 0.625, 0.625], [0.625, 0.125, 0.625], [0.625, 0.625, 0.125], [0.625, 0.625, 0.625]]
}

Most stable: i (next structure +0.011 eV/atom)

--- i ---
{
  "formula": "CePuInTc",
  "functional": "PBE-GGA",
  "state": "relaxed",
  "dos_at_fermi_per_ev_fu": 9.03,
  "lattice_angstrom": [[3.263, 0.000, 0.000], [0.000, 3.263, 0.000], [0.000, 0.000, 8.773]],
  "species": ["Ce", "Pu", "In", "Tc"],
  "frac_coords": [[0.000, 0.000, 0.000], [0.000, 0.000, 0.588], [0.500, 0.500, 0.299], [0.500, 0.500, 0.790]]
}

--- ii ---
{
  "formula": "CePuInTc",
  "functional": "PBE-GGA",
  "state": "relaxed",
  "dos_at_fermi_per_ev_fu": 5.68,
  "lattice_angstrom": [[6.980, 0.000, 0.000], [0.000, 6.980, 0.000], [0.000, 0.000, 6.980]],
  "species": ["Ce", "Ce", "Ce", "Ce", "Pu", "Pu", "Pu", "Pu", "In", "In", "In", "In", "Tc", "Tc", "Tc", "Tc"],
  "frac_coords": [[0.000, 0.000, 0.000], [0.000, 0.500, 0.500], [0.500, 0.000, 0.500], [0.500, 0.500, 0.000], [0.250, 0.250, 0.750], [0.250, 0.750, 0.250], [0.750, 0.250, 0.250], [0.750, 0.750, 0.750], [0.000, 0.000, 0.500], [0.000, 0.500, 0.000], [0.500, 0.000, 0.000], [0.500, 0.500, 0.500], [0.250, 0.250, 0.250], [0.250, 0.750, 0.750], [0.750, 0.250, 0.750], [0.750, 0.750, 0.250]]
}

Most stable: i (next structure +0.094 eV/atom)